Here is a crystal of Mn2TeRu relaxed with PBEsol from the Alexandria database. Energies are from meta-GGA SCAN.

Calculated values
Its energy relative to the elements, uncorrected is -0.0034 eV per atom. The symmetry is P4/mmm (123).

Geometry as POSCAR:
```
Mn2TeRu
1.0
3.3370 0.0000 0.0000
0.0000 3.3370 0.0000
0.0000 0.0000 5.4816
Mn Te Ru
2 1 1
Cartesian
0.0000 0.0000 1.2968 Mn
0.0000 0.0000 4.1847 Mn
1.6685 1.6685 2.7408 Te
1.6685 1.6685 0.0000 Ru
```



Here is a crystal of Mn2TeRu relaxed with PBEsol from the Alexandria database. Energies are from meta-GGA SCAN.

Calculated values
Its energy relative to the elements, uncorrected is 0.0560 eV per atom. The symmetry is Cmmm (65).

Geometry as POSCAR:
```
Mn2TeRu
1.0
2.6166 -3.4842 0.0000
2.6166 3.4842 0.0000
0.0000 0.0000 3.2390
Mn Te Ru
2 1 1
Cartesian
1.3083 1.7421 0.0000 Mn
1.3083 -1.7421 0.0000 Mn
0.0000 0.0000 1.6195 Te
2.6166 0.0000 1.6195 Ru
```



Here is a crystal of MnTe3Ru relaxed with PBEsol from the Alexandria database. Energies are from meta-GGA SCAN.

Calculated values
Its energy relative to the elements, uncorrected is 0.5093 eV per atom. The symmetry is Pm-3m (221).

Geometry as POSCAR:
```
MnTe3Ru
1.0
5.1404 0.0000 0.0000
0.0000 5.1404 0.0000
0.0000 0.0000 5.1404
Mn Te Ru
1 3 1
Cartesian
0.0000 0.0000 0.0000 Mn
0.0000 2.5702 2.5702 Te
2.5702 0.0000 2.5702 Te
2.5702 2.5702 0.0000 Te
2.5702 2.5702 2.5702 Ru
```



Here is a crystal of MnTeRu relaxed with PBEsol from the Alexandria database. Energies are from meta-GGA SCAN.

Calculated values
Its energy relative to the elements, uncorrected is 0.0663 eV per atom. The symmetry is Imm2 (44).

Geometry as POSCAR:
```
MnTeRu
1.0
-1.5966 1.8847 3.9938
1.5966 -1.8847 3.9938
1.5966 1.8847 -3.9938
Mn Te Ru
1 1 1
Cartesian
0.0000 0.0000 0.0000 Mn
0.0000 0.0000 2.5723 Te
0.0000 0.0000 5.2213 Ru
```



Here is a crystal of MnTeRu relaxed with PBEsol from the Alexandria database. Energies are from meta-GGA SCAN.

Calculated values
Its energy relative to the elements, uncorrected is -0.2594 eV per atom. The symmetry is F-43m (216).

Geometry as POSCAR:
```
MnTeRu
1.0
0.0000 2.9943 2.9943
2.9943 0.0000 2.9943
2.9943 2.9943 0.0000
Mn Te Ru
1 1 1
Cartesian
0.0000 0.0000 0.0000 Mn
2.9943 2.9943 2.9943 Te
1.4972 1.4972 1.4972 Ru
```



Here is a crystal of Ti2MnRu relaxed with PBEsol from the Alexandria database. Energies are from meta-GGA SCAN.

Calculated values
The symmetry is Fm-3m (225). For the formation energy, the calculation gives -592 meV/atom.

Geometry as POSCAR:
```
Ti2MnRu
1.0
0.0000 2.9952 2.9952
2.9952 0.0000 2.9952
2.9952 2.9952 0.0000
Ti Mn Ru
2 1 1
Cartesian
1.4976 1.4976 1.4976 Ti
4.4928 4.4928 4.4928 Ti
0.0000 0.0000 0.0000 Mn
2.9952 2.9952 2.9952 Ru
```



Here is a crystal of TiMnRu3 relaxed with PBEsol from the Alexandria database. Energies are from meta-GGA SCAN.

Calculated values
The symmetry is Pm-3m (221). For the formation energy, the calculation gives 1015 meV/atom.

Geometry as POSCAR:
```
TiMnRu3
1.0
4.4085 0.0000 0.0000
0.0000 4.4085 0.0000
0.0000 0.0000 4.4085
Ti Mn Ru
1 1 3
Cartesian
0.0000 0.0000 0.0000 Ti
2.2043 2.2043 2.2043 Mn
0.0000 0.0000 2.2043 Ru
0.0000 2.2043 0.0000 Ru
2.2043 0.0000 0.0000 Ru
```



Here is a crystal of MnTl2Ru relaxed with PBEsol from the Alexandria database. Energies are from meta-GGA SCAN.

Calculated values
The symmetry is Cmmm (65). For the formation energy, the calculation gives 468 meV/atom.

Geometry as POSCAR:
```
MnTl2Ru
1.0
3.1515 -3.3022 0.0000
3.1515 3.3022 0.0000
0.0000 0.0000 3.3588
Mn Tl Ru
1 2 1
Cartesian
0.0000 0.0000 0.0000 Mn
1.5757 1.6511 1.6794 Tl
1.5757 -1.6511 1.6794 Tl
3.1515 0.0000 0.0000 Ru
```



Here is a crystal of Mn3TlRu relaxed with PBEsol from the Alexandria database. Energies are from meta-GGA SCAN.

Calculated values
The symmetry is Pm-3m (221). For the formation energy, the calculation gives 616 meV/atom.

Geometry as POSCAR:
```
Mn3TlRu
1.0
4.6838 0.0000 0.0000
0.0000 4.6838 0.0000
0.0000 0.0000 4.6838
Mn Tl Ru
3 1 1
Cartesian
0.0000 0.0000 2.3419 Mn
0.0000 2.3419 0.0000 Mn
2.3419 0.0000 0.0000 Mn
2.3419 2.3419 2.3419 Tl
0.0000 0.0000 0.0000 Ru
```



Here is a crystal of MnTl2Ru relaxed with PBEsol from the Alexandria database. Energies are from meta-GGA SCAN.

Calculated values
The symmetry is P4/mmm (123). For the formation energy, the calculation gives 464 meV/atom.

Geometry as POSCAR:
```
MnTl2Ru
1.0
3.3042 0.0000 0.0000
0.0000 3.3042 0.0000
0.0000 0.0000 6.3759
Mn Tl Ru
1 2 1
Cartesian
0.0000 0.0000 0.0000 Mn
1.6521 1.6521 1.6185 Tl
1.6521 1.6521 4.7575 Tl
0.0000 0.0000 3.1880 Ru
```



Here is a crystal of MnTl2Ru relaxed with PBEsol from the Alexandria database. Energies are from meta-GGA SCAN.

Calculated values
The symmetry is P4/mmm (123). For the formation energy, the calculation gives 457 meV/atom.

Geometry as POSCAR:
```
MnTl2Ru
1.0
4.3469 0.0000 0.0000
0.0000 4.3469 0.0000
0.0000 0.0000 3.6958
Mn Tl Ru
1 2 1
Cartesian
0.0000 0.0000 0.0000 Mn
0.0000 2.1735 1.8479 Tl
2.1735 0.0000 1.8479 Tl
2.1735 2.1735 0.0000 Ru
```



Here is a crystal of MnTlRu2 relaxed with PBEsol from the Alexandria database. Energies are from meta-GGA SCAN.

Calculated values
The symmetry is Pmm2 (25). For the formation energy, the calculation gives 266 meV/atom.

Geometry as POSCAR:
```
MnTlRu2
1.0
2.8485 0.0000 0.0000
0.0000 3.7836 0.0000
0.0000 0.0000 5.6303
Mn Tl Ru
1 1 2
Cartesian
0.0000 0.0000 0.0000 Mn
1.4243 1.8918 4.0617 Tl
0.0000 0.0000 2.4298 Ru
1.4243 1.8918 1.2538 Ru
```



Here is a crystal of MnRu2W relaxed with PBEsol from the Alexandria database. Energies are from meta-GGA SCAN.

Calculated values
The symmetry is Fm-3m (225). For the formation energy, the calculation gives -209 meV/atom.

Geometry as POSCAR:
```
MnRu2W
1.0
0.0000 3.0314 3.0314
3.0314 0.0000 3.0314
3.0314 3.0314 0.0000
Mn Ru W
1 2 1
Cartesian
0.0000 0.0000 0.0000 Mn
1.5157 1.5157 1.5157 Ru
4.5471 4.5471 4.5471 Ru
3.0314 3.0314 3.0314 W
```



Here is a crystal of MnRu2W relaxed with PBEsol from the Alexandria database. Energies are from meta-GGA SCAN.

Calculated values
The symmetry is C2/m (12). For the formation energy, the calculation gives 121 meV/atom.

Geometry as POSCAR:
```
MnRu2W
1.0
2.6423 -4.3190 0.0000
2.6423 4.3190 0.0000
-1.0997 0.0000 2.4115
Mn Ru W
1 2 1
Cartesian
0.0000 0.0000 0.0000 Mn
0.7713 2.1595 1.2058 Ru
0.7713 -2.1595 1.2058 Ru
2.6423 0.0000 0.0000 W
```



Here is a crystal of MnRu2W relaxed with PBEsol from the Alexandria database. Energies are from meta-GGA SCAN.

Calculated values
The symmetry is P4/mmm (123). For the formation energy, the calculation gives -46 meV/atom.

Geometry as POSCAR:
```
MnRu2W
1.0
3.7950 0.0000 0.0000
0.0000 3.7950 0.0000
0.0000 0.0000 3.7172
Mn Ru W
1 2 1
Cartesian
0.0000 0.0000 0.0000 Mn
0.0000 1.8975 1.8586 Ru
1.8975 0.0000 1.8586 Ru
1.8975 1.8975 0.0000 W
```



Here is a crystal of MnRu2W relaxed with PBEsol from the Alexandria database. Energies are from meta-GGA SCAN.

Calculated values
The symmetry is P4mm (99). For the formation energy, the calculation gives 201 meV/atom.

Geometry as POSCAR:
```
MnRu2W
1.0
2.6789 0.0000 0.0000
0.0000 2.6789 0.0000
0.0000 0.0000 7.3910
Mn Ru W
1 2 1
Cartesian
0.0000 0.0000 0.0000 Mn
0.0000 0.0000 3.5380 Ru
1.3394 1.3394 1.6125 Ru
1.3394 1.3394 5.5179 W
```



Here is a crystal of MnRuW2 relaxed with PBEsol from the Alexandria database. Energies are from meta-GGA SCAN.

Calculated values
The symmetry is P2/m (10). For the formation energy, the calculation gives 89 meV/atom.

Geometry as POSCAR:
```
MnRuW2
1.0
2.6976 0.0000 0.0000
0.0000 4.0970 0.0000
-1.2755 0.0000 5.1092
Mn Ru W
1 1 2
Cartesian
0.0000 0.0000 0.0000 Mn
0.7111 0.0000 2.5546 Ru
-0.3354 2.0485 3.8639 W
1.7575 2.0485 1.2453 W
```



Here is a crystal of MnRu2W relaxed with PBEsol from the Alexandria database. Energies are from meta-GGA SCAN.

Calculated values
The symmetry is R3m (160). For the formation energy, the calculation gives 173 meV/atom.

Geometry as POSCAR:
```
MnRu2W
1.0
1.3404 0.7739 8.6410
-1.3404 0.7739 8.6410
0.0000 -1.5477 8.6410
Mn Ru W
1 2 1
Cartesian
0.0000 0.0000 0.0000 Mn
0.0000 0.0000 6.6837 Ru
0.0000 0.0000 13.0755 Ru
0.0000 0.0000 19.5077 W
```



Here is a crystal of MnRuW2 relaxed with PBEsol from the Alexandria database. Energies are from meta-GGA SCAN.

Calculated values
The symmetry is I4/mmm (139). For the formation energy, the calculation gives 113 meV/atom.

Geometry as POSCAR:
```
MnRuW2
1.0
-1.9274 1.9274 3.7852
1.9274 -1.9274 3.7852
1.9274 1.9274 -3.7852
Mn Ru W
1 1 2
Cartesian
0.0000 0.0000 0.0000 Mn
0.0000 0.0000 3.7852 Ru
1.9274 0.0000 1.8926 W
0.0000 1.9274 1.8926 W
```



Here is a crystal of YMnRu relaxed with PBEsol from the Alexandria database. Energies are from meta-GGA SCAN.

Calculated values
The symmetry is F-43m (216). For the formation energy, the calculation gives 346 meV/atom.

Geometry as POSCAR:
```
YMnRu
1.0
0.0000 2.9909 2.9909
2.9909 0.0000 2.9909
2.9909 2.9909 0.0000
Y Mn Ru
1 1 1
Cartesian
0.0000 0.0000 0.0000 Y
4.4863 4.4863 4.4863 Mn
2.9909 2.9909 2.9909 Ru
```



Here is a crystal of MnZnRu relaxed with PBEsol from the Alexandria database. Energies are from meta-GGA SCAN.

Calculated values
The symmetry is F-43m (216). For the formation energy, the calculation gives 347 meV/atom.

Geometry as POSCAR:
```
MnZnRu
1.0
0.0000 2.8403 2.8403
2.8403 0.0000 2.8403
2.8403 2.8403 0.0000
Mn Zn Ru
1 1 1
Cartesian
0.0000 0.0000 0.0000 Mn
4.2605 4.2605 4.2605 Zn
2.8403 2.8403 2.8403 Ru
```



Here is a crystal of MnZnRu2 relaxed with PBEsol from the Alexandria database. Energies are from meta-GGA SCAN.

Calculated values
The symmetry is Pmm2 (25). For the formation energy, the calculation gives -73 meV/atom.

Geometry as POSCAR:
```
MnZnRu2
1.0
2.6806 0.0000 0.0000
0.0000 3.7437 0.0000
0.0000 0.0000 5.1704
Mn Zn Ru
1 1 2
Cartesian
0.0000 0.0000 0.0000 Mn
1.3403 1.8719 3.9176 Zn
0.0000 0.0000 2.5599 Ru
1.3403 1.8719 1.3276 Ru
```



Here is a crystal of Mn2ZnRu relaxed with PBEsol from the Alexandria database. Energies are from meta-GGA SCAN.

Calculated values
The symmetry is Cm (8). For the formation energy, the calculation gives -24 meV/atom.

Geometry as POSCAR:
```
Mn2ZnRu
1.0
4.2646 -1.3268 0.0000
4.2646 1.3268 0.0000
-0.9533 0.0000 4.3216
Mn Zn Ru
2 1 1
Cartesian
0.0000 0.0000 0.0000 Mn
6.0896 0.0000 1.1102 Mn
3.7726 0.0000 2.1387 Zn
1.4507 0.0000 3.3325 Ru
```



Here is a crystal of MnZnRu2 relaxed with PBEsol from the Alexandria database. Energies are from meta-GGA SCAN.

Calculated values
The symmetry is Immm (71). For the formation energy, the calculation gives 36 meV/atom.

Geometry as POSCAR:
```
MnZnRu2
1.0
-1.3785 2.1860 4.3665
1.3785 -2.1860 4.3665
1.3785 2.1860 -4.3665
Mn Zn Ru
1 1 2
Cartesian
0.0000 0.0000 0.0000 Mn
0.0000 0.0000 4.3665 Zn
1.3785 0.0000 1.9832 Ru
0.0000 2.1860 2.3833 Ru
```



Here is a crystal of MnZnRu2 relaxed with PBEsol from the Alexandria database. Energies are from meta-GGA SCAN.

Calculated values
The symmetry is P4mm (99). For the formation energy, the calculation gives -44 meV/atom.

Geometry as POSCAR:
```
MnZnRu2
1.0
2.6613 0.0000 0.0000
0.0000 2.6613 0.0000
0.0000 0.0000 7.3486
Mn Zn Ru
1 1 2
Cartesian
0.0000 0.0000 0.0000 Mn
1.3307 1.3307 5.5242 Zn
0.0000 0.0000 3.6114 Ru
1.3307 1.3307 1.8506 Ru
```



Here is a crystal of MnZnRu2 relaxed with PBEsol from the Alexandria database. Energies are from meta-GGA SCAN.

Calculated values
The symmetry is C2/m (12). For the formation energy, the calculation gives -26 meV/atom.

Geometry as POSCAR:
```
MnZnRu2
1.0
4.2782 -1.3321 0.0000
4.2782 1.3321 0.0000
-0.9152 0.0000 4.5176
Mn Zn Ru
1 1 2
Cartesian
0.0000 0.0000 0.0000 Mn
3.8206 0.0000 2.2588 Zn
1.5260 0.0000 3.4283 Ru
6.1153 0.0000 1.0893 Ru
```



Here is a crystal of MnZnRu2 relaxed with PBEsol from the Alexandria database. Energies are from meta-GGA SCAN.

Calculated values
The symmetry is Pmmm (47). For the formation energy, the calculation gives 62 meV/atom.

Geometry as POSCAR:
```
MnZnRu2
1.0
2.8954 0.0000 0.0000
0.0000 4.1857 0.0000
0.0000 0.0000 4.3696
Mn Zn Ru
1 1 2
Cartesian
0.0000 0.0000 0.0000 Mn
1.4477 0.0000 2.1848 Zn
0.0000 2.0929 2.1848 Ru
1.4477 2.0929 0.0000 Ru
```



Here is a crystal of MnZnRu2 relaxed with PBEsol from the Alexandria database. Energies are from meta-GGA SCAN.

Calculated values
The symmetry is P4/mmm (123). For the formation energy, the calculation gives -114 meV/atom.

Geometry as POSCAR:
```
MnZnRu2
1.0
2.9064 0.0000 0.0000
0.0000 2.9064 0.0000
0.0000 0.0000 6.0480
Mn Zn Ru
1 1 2
Cartesian
0.0000 0.0000 0.0000 Mn
0.0000 0.0000 3.0240 Zn
1.4532 1.4532 1.4455 Ru
1.4532 1.4532 4.6025 Ru
```



Here is a crystal of MnZnRu relaxed with PBEsol from the Alexandria database. Energies are from meta-GGA SCAN.

Calculated values
The symmetry is I4mm (107). For the formation energy, the calculation gives 73 meV/atom.

Geometry as POSCAR:
```
MnZnRu
1.0
-1.3760 1.3760 4.8671
1.3760 -1.3760 4.8671
1.3760 1.3760 -4.8671
Mn Zn Ru
1 1 1
Cartesian
0.0000 0.0000 0.0000 Mn
0.0000 0.0000 3.2420 Zn
0.0000 0.0000 6.3245 Ru
```



Here is a crystal of Mn2ZnRu relaxed with PBEsol from the Alexandria database. Energies are from meta-GGA SCAN.

Calculated values
The symmetry is Cmm2 (35). For the formation energy, the calculation gives 73 meV/atom.

Geometry as POSCAR:
```
Mn2ZnRu
1.0
1.3910 -2.1305 0.0000
1.3910 2.1305 0.0000
0.0000 0.0000 8.3188
Mn Zn Ru
2 1 1
Cartesian
0.0000 0.0000 0.0000 Mn
1.3910 0.0000 1.8881 Mn
1.3910 0.0000 6.1955 Zn
0.0000 0.0000 3.9629 Ru
```



Here is a crystal of Mn2ZnRu relaxed with PBEsol from the Alexandria database. Energies are from meta-GGA SCAN.

Calculated values
The symmetry is P4/mmm (123). For the formation energy, the calculation gives -154 meV/atom.

Geometry as POSCAR:
```
Mn2ZnRu
1.0
4.2500 0.0000 0.0000
0.0000 4.2500 0.0000
0.0000 0.0000 2.8496
Mn Zn Ru
2 1 1
Cartesian
0.0000 2.1250 0.0000 Mn
2.1250 0.0000 0.0000 Mn
0.0000 0.0000 1.4248 Zn
2.1250 2.1250 1.4248 Ru
```



| no. | magnetic moment (μB per atom) |
| --- | --- |
| 1 | 2.094 |
| 2 | 1.750 |
| 3 | 0.574 |
| 4 | 1.323 |
| 5 | 1.019 |
| 6 | 0.112 |
| 7 | 0.475 |
| 8 | 0.875 |
| 9 | 2.625 |
| 10 | 0.966 |
| 11 | 0.981 |
| 12 | 0.895 |
| 13 | 1.183 |
| 14 | 0.997 |
| 15 | 0.587 |
| 16 | 0.001 |
| 17 | 0.766 |
| 18 | 0.632 |
| 19 | 0.602 |
| 20 | 1.207 |
| 21 | 1.424 |
| 22 | 0.868 |
| 23 | 1.315 |
| 24 | 0.602 |
| 25 | 0.920 |
| 26 | 0.563 |
| 27 | 0.991 |
| 28 | 0.491 |
| 29 | 0.001 |
| 30 | 0.095 |
| 31 | 1.781 |